An optimized crystal structure of Tl3GeS4, computed with PBE.

## Properties
E_form (uncorrected), meV/atom: -302
Offset from the most stable computed form, kJ/mol of atoms: 1.9
Magnetization, μB per cell: 0.00
Space group: Pmn2_1

Unit cell a=6.5186 b=6.2374 c=11.1910 alpha=90.00 beta=90.00 gamma=90.00
With the nearest neighbours (Å) after each atom.
Positions (direct):
S 0.1160 0.2807 0.8237  1 Ge 2.24
Tl 0.5681 0.2465 0.7490  4 S 2.85-3.08
S 0.9938 0.8145 0.0000  1 Ge 2.26
S 0.1473 0.7351 0.5000  1 Ge 2.27
S 0.1160 0.2807 0.1763  1 Ge 2.24
Tl 0.5208 0.7572 0.0000  4 S 3.10-3.45
Tl 0.0681 0.7535 0.7510  4 S 2.85-3.08
S 0.6160 0.7193 0.3237  1 Ge 2.24
Tl 0.0208 0.2428 0.5000  4 S 3.10-3.45
S 0.4938 0.1855 0.5000  1 Ge 2.26
S 0.6160 0.7193 0.6763  1 Ge 2.24
Ge 0.9854 0.1775 0.0000  4 S 2.24-2.27
Ge 0.4854 0.8225 0.5000  4 S 2.24-2.27
Tl 0.5681 0.2465 0.2510  4 S 2.85-3.08
S 0.6473 0.2649 0.0000  1 Ge 2.27
Tl 0.0681 0.7535 0.2490  4 S 2.85-3.08

An optimized crystal structure of Tl2GeS2, computed with PBE.

## Properties
E_form (uncorrected), meV/atom: 296
Offset from the most stable computed form, kJ/mol of atoms: 55.5
Magnetization, μB per cell: 0.00
Space group: I4/mmm

Unit cell a=5.5259 b=5.5259 c=5.8371 alpha=61.75 beta=61.75 gamma=90.00
With the nearest neighbours (Å) after each atom.
Positions (direct):
Tl 0.6662 0.6662 0.6676  4 S 2.86, 1 Tl 2.88, 1 Ge 2.89
S 0.7500 0.2500 0.5000  4 Tl 2.86
S 0.2500 0.7500 0.5000  4 Tl 2.86
Tl 0.3338 0.3338 0.3324  4 S 2.86, 1 Tl 2.88, 1 Ge 2.89
Ge 0.0000 0.0000 0.0000  2 Tl 2.89